[1]
A geometry-optimized Tl5Cd3Sn12 structure. Source: Alexandria via LeMat-Bulk, functional PBE.

a b c (Å): 15.266 15.266 15.266
angles (deg): 109.47 109.47 109.47
Element x y z (fractional)
Sn (0.764, 0.426, 0.361)
Sn (0.903, 0.838, 0.764)
Sn (0.264, 0.861, 0.926)
Sn (0.566, 0.639, 0.403)
Sn (0.597, 0.736, 0.662)
Sn (0.426, 0.662, 0.066)
Sn (0.097, 0.162, 0.236)
Sn (0.838, 0.934, 0.074)
Sn (0.861, 0.264, 0.426)
Sn (0.236, 0.574, 0.639)
Sn (0.434, 0.074, 0.338)
Sn (0.074, 0.639, 0.736)
Sn (0.403, 0.139, 0.566)
Sn (0.639, 0.074, 0.236)
Sn (0.662, 0.236, 0.597)
Sn (0.338, 0.764, 0.403)
Sn (0.066, 0.162, 0.426)
Sn (0.426, 0.764, 0.861)
Sn (0.764, 0.338, 0.903)
Sn (0.434, 0.361, 0.597)
Sn (0.861, 0.597, 0.934)
Sn (0.236, 0.662, 0.097)
Sn (0.574, 0.338, 0.934)
Sn (0.361, 0.926, 0.764)
Sn (0.264, 0.403, 0.838)
Sn (0.639, 0.566, 0.903)
Sn (0.838, 0.903, 0.264)
Sn (0.566, 0.926, 0.662)
Sn (0.903, 0.066, 0.639)
Sn (0.139, 0.403, 0.066)
Sn (0.662, 0.426, 0.566)
Sn (0.361, 0.434, 0.097)
Sn (0.574, 0.236, 0.139)
Sn (0.403, 0.264, 0.338)
Sn (0.162, 0.097, 0.736)
Sn (0.934, 0.838, 0.574)
Sn (0.066, 0.903, 0.139)
Sn (0.926, 0.566, 0.162)
Sn (0.597, 0.861, 0.434)
Sn (0.074, 0.434, 0.838)
Sn (0.139, 0.736, 0.574)
Sn (0.736, 0.139, 0.074)
Sn (0.338, 0.574, 0.434)
Sn (0.934, 0.097, 0.861)
Sn (0.097, 0.934, 0.361)
Sn (0.736, 0.597, 0.162)
Sn (0.162, 0.066, 0.926)
Sn (0.926, 0.361, 0.264)
Tl (0.125, 0.375, 0.250)
Tl (0.250, 0.875, 0.125)
Tl (0.750, 0.625, 0.375)
Tl (0.625, 0.875, 0.250)
Tl (0.375, 0.125, 0.750)
Tl (0.500, 0.000, 0.500)
Tl (0.000, 0.500, 0.000)
Tl (0.375, 0.250, 0.125)
Tl (0.500, 0.500, 0.000)
Tl (0.000, 0.000, 0.500)
Tl (0.750, 0.125, 0.875)
Tl (0.000, 0.000, 0.000)
Tl (0.875, 0.625, 0.750)
Tl (0.875, 0.250, 0.625)
Tl (0.125, 0.750, 0.375)
Tl (0.250, 0.375, 0.625)
Tl (0.625, 0.750, 0.875)
Tl (0.000, 0.500, 0.500)
Tl (0.500, 0.500, 0.500)
Tl (0.500, 0.000, 0.000)
Cd (0.375, 0.625, 0.250)
Cd (0.125, 0.875, 0.750)
Cd (0.125, 0.250, 0.875)
Cd (0.875, 0.750, 0.125)
Cd (0.625, 0.250, 0.375)
Cd (0.750, 0.375, 0.125)
Cd (0.750, 0.875, 0.625)
Cd (0.250, 0.125, 0.375)
Cd (0.375, 0.750, 0.625)
Cd (0.875, 0.125, 0.250)
Cd (0.625, 0.375, 0.750)
Cd (0.250, 0.625, 0.875)

Values from the calculation:
As for the density of states at the Fermi level: 37.88 states/eV per cell. The calculation puts the calculated formation energy at 0.21 eV/atom. The volume is 34.23 Å³ per atom. The space group is Ia-3d (230).

***

[2]
A geometry-optimized HfAg2PO6 structure. Source: Alexandria via LeMat-Bulk, functional PBE.

a b c (Å): 5.272 6.147 6.147
angles (deg): 120.00 90.00 90.00
Element x y z (fractional)
Ag (0.868, 0.333, 0.667)
Ag (0.132, 0.667, 0.333)
O (0.799, 0.129, 0.259)
O (0.201, 0.259, 0.129)
O (0.799, 0.129, 0.871)
O (0.201, 0.871, 0.129)
O (0.799, 0.741, 0.871)
O (0.201, 0.871, 0.741)
P (0.000, 0.000, 0.000)
Hf (0.500, 0.000, 0.000)

Values from the calculation:
As for the density of states at the Fermi level: 6.98 states/eV per cell. The volume is 17.25 Å³ per atom. The space group is P-3m1 (164). Its total energy is -6.530 eV/atom.

***

[3]
A geometry-optimized Sc2CoSe structure. Source: Alexandria via LeMat-Bulk, functional PBE.

a b c (Å): 8.254 8.254 8.254
angles (deg): 25.33 25.33 25.33
Element x y z (fractional)
Sc (0.107, 0.107, 0.107)
Sc (0.893, 0.893, 0.893)
Co (0.500, 0.500, 0.500)
Se (0.000, 0.000, 0.000)

Values from the calculation:
As for the density of states at the Fermi level: 5.78 states/eV per cell. The volume is 22.64 Å³ per atom. The space group is R-3m (166). Its total energy is -6.088 eV/atom.